# 1
# CuRu2 | the Alexandria database | meta-GGA SCAN | single point on PBEsol structure
# total energy	-84.228	eV/cell
# V	13.0	Å³ per atom
data_CuRu2
_chemical_formula_sum 'Cu1 Ru2'
_cell_length_a 2.6512
_cell_length_b 2.6512
_cell_length_c 6.3874
_cell_angle_alpha 90.00
_cell_angle_beta 90.00
_cell_angle_gamma 120.00
_space_group_name_H-M_alt 'P -3 m 1'
_space_group_IT_number 164
_space_group_name_Hall '-P 3 2"'
loop_
_atom_site_label
_atom_site_fract_x
_atom_site_fract_y
_atom_site_fract_z
_atom_site_occupancy
Cu1 0.0000 0.0000 0.0000 1
Ru1 0.3333 0.6667 0.3386 1

---

# 2
# Cu3SbRu | the Alexandria database | meta-GGA SCAN | single point on PBEsol structure
# total energy	-110.907	eV/cell
# energy relative to the elements, uncorrected	1.3556	eV/atom
# V	19.6	Å³ per atom
data_Cu3SbRu
_chemical_formula_sum 'Cu3 Sb1 Ru1'
_cell_length_a 4.6138
_cell_length_b 4.6138
_cell_length_c 4.6138
_cell_angle_alpha 90.00
_cell_angle_beta 90.00
_cell_angle_gamma 90.00
_space_group_name_H-M_alt 'P m -3 m'
_space_group_IT_number 221
_space_group_name_Hall '-P 4 2 3'
loop_
_atom_site_label
_atom_site_fract_x
_atom_site_fract_y
_atom_site_fract_z
_atom_site_occupancy
Cu1 0.0000 0.0000 0.5000 1
Sb1 0.0000 0.0000 0.0000 1
Ru1 0.5000 0.5000 0.5000 1

---

Which value of V does entry 1 give?
13.0 Å³ per atom

---

total energy of number 2 (Cu3SbRu)?
-110.907 eV/cell

---

What is the V in the first record?
13.0 Å³ per atom